Here is a relaxed structure of LaTaNO from OQMD via LeMat-Bulk. Energies are from PBE.

Output
Magnetization: 0.00 μB per cell
VASP energy: -9.266 eV/atom

a b c (Å): 4.092 5.591 5.410
angles (deg): 90.00 90.00 90.00
Element x y z (fractional)
1 La 0.500 0.001 0.272
2 La 0.500 0.501 0.728
3 N 0.000 0.251 0.500
4 N 0.000 0.751 0.500
5 O 0.500 0.501 0.210
6 O 0.500 0.001 0.790
7 Ta 0.000 0.501 0.237
8 Ta 0.000 0.001 0.763